No. 1
Compound: SmThIrRh
Source: the Alexandria database
Functional: GGA-PBE
Structure: relaxed

Properties
VASP energy   -7.831 eV/atom
Relative energy among the computed polymorphs   139 meV/atom
Calculated formation energy   -743 meV/atom
Space-group type   F-43m, No. 216

Geometry as CIF:
```
data_SmThIrRh
_chemical_formula_sum 'Sm1 Th1 Ir1 Rh1'
_cell_length_a 5.003
_cell_length_b 5.003
_cell_length_c 5.003
_cell_angle_alpha 60.00
_cell_angle_beta 60.00
_cell_angle_gamma 60.00
_space_group_name_H-M_alt 'P 1'
_space_group_IT_number 1
loop_
_space_group_symop_operation_xyz
'x,y,z'
loop_
_atom_site_label
_atom_site_fract_x
_atom_site_fract_y
_atom_site_fract_z
Sm1 0.250 0.250 0.250
Th1 0.750 0.750 0.750
Ir1 0.000 0.000 0.000
Rh1 0.500 0.500 0.500
```


No. 2
Compound: Sm2Zn5Ir2Rh
Source: the Alexandria database
Functional: GGA-PBE
Structure: relaxed

Properties
VASP energy   -4.445 eV/atom
Calculated formation energy   -357 meV/atom
Space-group type   P4/mbm, No. 127

Geometry as CIF:
```
data_Sm2Zn5Ir2Rh
_chemical_formula_sum 'Sm4 Zn10 Ir4 Rh2'
_cell_length_a 3.808
_cell_length_b 9.731
_cell_length_c 9.731
_cell_angle_alpha 90.00
_cell_angle_beta 90.00
_cell_angle_gamma 90.00
_space_group_name_H-M_alt 'P 1'
_space_group_IT_number 1
loop_
_space_group_symop_operation_xyz
'x,y,z'
loop_
_atom_site_label
_atom_site_fract_x
_atom_site_fract_y
_atom_site_fract_z
Ir1 0.000 0.375 0.125
Zn1 0.500 0.809 0.944
Rh1 0.000 0.500 0.500
Zn2 0.500 0.191 0.056
Zn3 0.500 0.444 0.309
Zn4 0.500 0.500 0.000
Sm1 0.000 0.325 0.825
Ir2 0.000 0.625 0.875
Ir3 0.000 0.125 0.625
Zn5 0.500 0.309 0.556
Zn6 0.500 0.056 0.809
Zn7 0.500 0.000 0.500
Zn8 0.500 0.944 0.191
Ir4 0.000 0.875 0.375
Sm2 0.000 0.825 0.675
Zn9 0.500 0.691 0.444
Sm3 0.000 0.675 0.175
Rh2 0.000 0.000 0.000
Sm4 0.000 0.175 0.325
Zn10 0.500 0.556 0.691
```


No. 3
Compound: Sm2Zn5IrRh2
Source: the Alexandria database
Functional: GGA-PBE
Structure: relaxed

Properties
VASP energy   -4.340 eV/atom
Calculated formation energy   -403 meV/atom
Space-group type   P4/mbm, No. 127

Geometry as CIF:
```
data_Sm2Zn5IrRh2
_chemical_formula_sum 'Sm4 Zn10 Ir2 Rh4'
_cell_length_a 3.819
_cell_length_b 9.628
_cell_length_c 9.628
_cell_angle_alpha 90.00
_cell_angle_beta 90.00
_cell_angle_gamma 90.00
_space_group_name_H-M_alt 'P 1'
_space_group_IT_number 1
loop_
_space_group_symop_operation_xyz
'x,y,z'
loop_
_atom_site_label
_atom_site_fract_x
_atom_site_fract_y
_atom_site_fract_z
Rh1 0.000 0.625 0.875
Zn1 0.500 0.310 0.554
Zn2 0.500 0.446 0.310
Zn3 0.500 0.000 0.500
Ir1 0.000 0.500 0.500
Sm1 0.000 0.678 0.178
Zn4 0.500 0.810 0.946
Sm2 0.000 0.322 0.822
Sm3 0.000 0.822 0.678
Sm4 0.000 0.178 0.322
Zn5 0.500 0.946 0.190
Rh2 0.000 0.875 0.375
Zn6 0.500 0.554 0.690
Zn7 0.500 0.500 0.000
Ir2 0.000 0.000 0.000
Rh3 0.000 0.125 0.625
Rh4 0.000 0.375 0.125
Zn8 0.500 0.690 0.446
Zn9 0.500 0.054 0.810
Zn10 0.500 0.190 0.054
```


No. 4
Compound: Sm2ZnIr2Rh5
Source: the Alexandria database
Functional: GGA-PBE
Structure: relaxed

Properties
VASP energy   -6.834 eV/atom
Calculated formation energy   -315 meV/atom
Space-group type   P4/mbm, No. 127

Geometry as CIF:
```
data_Sm2ZnIr2Rh5
_chemical_formula_sum 'Sm4 Zn2 Ir4 Rh10'
_cell_length_a 3.953
_cell_length_b 9.473
_cell_length_c 9.473
_cell_angle_alpha 90.00
_cell_angle_beta 90.00
_cell_angle_gamma 90.00
_space_group_name_H-M_alt 'P 1'
_space_group_IT_number 1
loop_
_space_group_symop_operation_xyz
'x,y,z'
loop_
_atom_site_label
_atom_site_fract_x
_atom_site_fract_y
_atom_site_fract_z
Ir1 0.000 0.367 0.133
Zn1 0.000 0.000 0.000
Rh1 0.500 0.196 0.065
Ir2 0.000 0.633 0.867
Sm1 0.000 0.167 0.333
Rh2 0.500 0.565 0.696
Sm2 0.000 0.667 0.167
Rh3 0.500 0.935 0.196
Ir3 0.000 0.867 0.367
Zn2 0.000 0.500 0.500
Sm3 0.000 0.833 0.667
Sm4 0.000 0.333 0.833
Rh4 0.500 0.696 0.435
Rh5 0.500 0.065 0.804
Ir4 0.000 0.133 0.633
Rh6 0.500 0.304 0.565
Rh7 0.500 0.000 0.500
Rh8 0.500 0.804 0.935
Rh9 0.500 0.500 0.000
Rh10 0.500 0.435 0.304
```


No. 5
Compound: Sn4IrRh2
Source: the Alexandria database
Functional: GGA-PBE
Structure: relaxed

Properties
VASP energy   -6.011 eV/atom
Calculated formation energy   -358 meV/atom
Space-group type   C2/m, No. 12

Geometry as CIF:
```
data_Sn4IrRh2
_chemical_formula_sum 'Sn4 Ir1 Rh2'
_cell_length_a 3.977
_cell_length_b 6.216
_cell_length_c 6.831
_cell_angle_alpha 110.91
_cell_angle_beta 106.93
_cell_angle_gamma 90.00
_space_group_name_H-M_alt 'P 1'
_space_group_IT_number 1
loop_
_space_group_symop_operation_xyz
'x,y,z'
loop_
_atom_site_label
_atom_site_fract_x
_atom_site_fract_y
_atom_site_fract_z
Ir1 0.000 0.000 0.000
Rh1 0.758 0.694 0.516
Rh2 0.242 0.306 0.484
Sn1 0.406 0.707 0.812
Sn2 0.594 0.293 0.188
Sn3 0.158 0.825 0.316
Sn4 0.842 0.175 0.684
```